The following is a DFT calculation (PBE with a Hubbard U) of a relaxed structure of HfNpCrO6.

## Properties
Size of the total moment in μB per formula unit: 5.0
Energy in hartree per atom: -0.3432

Cell lengths 5.459, 5.459, 8.776 Å; angles 90.00, 90.00, 120.00 degrees
Sites, in units of the cell vectors:
Hf 0.333 0.667 0.250
Hf 0.667 0.333 0.750
Np 0.333 0.667 0.750
Np 0.667 0.333 0.250
Cr 0.000 0.000 0.000
Cr 0.000 0.000 0.500
O 0.005 0.334 0.128
O 0.005 0.671 0.372
O 0.329 0.334 0.372
O 0.329 0.995 0.128
O 0.334 0.005 0.628
O 0.334 0.329 0.872
O 0.666 0.671 0.128
O 0.666 0.995 0.372
O 0.671 0.005 0.872
O 0.671 0.666 0.628
O 0.995 0.329 0.628
O 0.995 0.666 0.872

The following is a DFT calculation (PBE with a Hubbard U) of a relaxed structure of HfCrO3.

## Properties
Size of the total moment in μB per formula unit: 2.6
Energy in hartree per atom: -0.2983

Cell lengths 3.758, 3.758, 3.758 Å; angles 90.00, 90.00, 90.00 degrees
Sites, in units of the cell vectors:
Hf 0.000 0.000 0.000
Cr 0.500 0.500 0.500
O 0.000 0.500 0.500
O 0.500 0.000 0.500
O 0.500 0.500 0.000

The following is a DFT calculation (PBE with a Hubbard U) of a relaxed structure of HfCrO3.

## Properties
Size of the total moment in μB per formula unit: 4.0
Energy in hartree per atom: -0.3370

Cell lengths 5.335, 9.376, 4.925 Å; angles 90.00, 90.00, 90.00 degrees
Sites, in units of the cell vectors:
Hf 0.038 0.250 0.048
Hf 0.462 0.750 0.548
Hf 0.538 0.250 0.452
Hf 0.962 0.750 0.952
Cr 0.000 0.000 0.500
Cr 0.000 0.500 0.500
Cr 0.500 0.000 0.000
Cr 0.500 0.500 0.000
O 0.152 0.750 0.301
O 0.225 0.605 0.782
O 0.225 0.895 0.782
O 0.275 0.105 0.282
O 0.275 0.395 0.282
O 0.348 0.250 0.801
O 0.652 0.750 0.199
O 0.725 0.605 0.718
O 0.725 0.895 0.718
O 0.775 0.105 0.218
O 0.775 0.395 0.218
O 0.848 0.250 0.699

The following is a DFT calculation (PBE with a Hubbard U) of a relaxed structure of HfCrO3.

## Properties
Size of the total moment in μB per formula unit: 4.0
Energy in hartree per atom: -0.3154

Cell lengths 4.051, 4.051, 4.051 Å; angles 90.00, 90.00, 90.00 degrees
Sites, in units of the cell vectors:
Hf 0.000 0.000 0.000
Cr 0.500 0.500 0.500
O 0.000 0.000 0.500
O 0.000 0.500 0.000
O 0.500 0.000 0.000

The following is a DFT calculation (PBE with a Hubbard U) of a relaxed structure of HfCr3O.

## Properties
Size of the total moment in μB per formula unit: 13.2
Energy in hartree per atom: -0.1964

Cell lengths 5.099, 5.099, 5.099 Å; angles 90.00, 90.00, 90.00 degrees
Sites, in units of the cell vectors:
Hf 0.000 0.000 0.000
Cr 0.000 0.000 0.500
Cr 0.000 0.500 0.000
Cr 0.500 0.000 0.000
O 0.500 0.500 0.500

The following is a DFT calculation (PBE with a Hubbard U) of a relaxed structure of Hf3CrO.

## Properties
Size of the total moment in μB per formula unit: 3.4
Energy in hartree per atom: -0.3409

Cell lengths 4.438, 4.438, 4.438 Å; angles 90.00, 90.00, 90.00 degrees
Sites, in units of the cell vectors:
Hf 0.000 0.000 0.500
Hf 0.000 0.500 0.000
Hf 0.500 0.000 0.000
Cr 0.500 0.500 0.500
O 0.000 0.000 0.000

The following is a DFT calculation (PBE with a Hubbard U) of a relaxed structure of HfCr3O6.

## Properties
Size of the total moment in μB per formula unit: 10.0
Energy in hartree per atom: -0.3119

Cell lengths 6.091, 6.091, 3.224 Å; angles 90.00, 90.00, 109.66 degrees
Sites, in units of the cell vectors:
Hf 0.000 0.000 0.000
Cr 0.000 0.500 0.500
Cr 0.500 0.000 0.500
Cr 0.500 0.500 0.000
O 0.141 0.859 0.500
O 0.157 0.409 0.000
O 0.409 0.157 0.000
O 0.591 0.843 0.000
O 0.843 0.591 0.000
O 0.859 0.141 0.500

The following is a DFT calculation (PBE with a Hubbard U) of a relaxed structure of HfCr3O.

## Properties
Size of the total moment in μB per formula unit: 10.2
Energy in hartree per atom: -0.2723

Cell lengths 4.303, 4.303, 4.303 Å; angles 90.00, 90.00, 90.00 degrees
Sites, in units of the cell vectors:
Hf 0.000 0.000 0.000
Cr 0.000 0.500 0.500
Cr 0.500 0.000 0.500
Cr 0.500 0.500 0.000
O 0.500 0.500 0.500

The following is a DFT calculation (PBE with a Hubbard U) of a relaxed structure of Hf2CrO6.

## Properties
Size of the total moment in μB per formula unit: 2.0
Energy in hartree per atom: -0.3372

Cell lengths 4.744, 4.744, 9.438 Å; angles 90.00, 90.00, 90.00 degrees
Sites, in units of the cell vectors:
Hf 0.000 0.000 0.169
Hf 0.000 0.000 0.831
Hf 0.500 0.500 0.331
Hf 0.500 0.500 0.669
Cr 0.000 0.000 0.500
Cr 0.500 0.500 0.000
O 0.192 0.192 0.342
O 0.192 0.192 0.658
O 0.209 0.209 0.000
O 0.291 0.709 0.500
O 0.308 0.692 0.158
O 0.308 0.692 0.842
O 0.692 0.308 0.158
O 0.692 0.308 0.842
O 0.709 0.291 0.500
O 0.791 0.791 0.000
O 0.808 0.808 0.342
O 0.808 0.808 0.658

The following is a DFT calculation (PBE with a Hubbard U) of a relaxed structure of HfCrP2O.

## Properties
Size of the total moment in μB per formula unit: 1.1
Energy in hartree per atom: -0.2430

Cell lengths 5.121, 5.121, 3.895 Å; angles 90.00, 90.00, 90.00 degrees
Sites, in units of the cell vectors:
Hf 0.000 0.000 0.000
Cr 0.500 0.500 0.500
P 0.000 0.500 0.000
P 0.500 0.000 0.000
O 0.000 0.000 0.500

The following is a DFT calculation (PBE with a Hubbard U) of a relaxed structure of HfCrP2O.

## Properties
Size of the total moment in μB per formula unit: 2.0
Energy in hartree per atom: -0.2546

Cell lengths 4.725, 4.725, 3.574 Å; angles 90.00, 90.00, 90.00 degrees
Sites, in units of the cell vectors:
Hf 0.000 0.000 0.000
Cr 0.500 0.500 0.500
P 0.000 0.500 0.500
P 0.500 0.000 0.500
O 0.500 0.500 0.000

The following is a DFT calculation (PBE with a Hubbard U) of a relaxed structure of HfCrPO2.

## Properties
Size of the total moment in μB per formula unit: 3.3
Energy in hartree per atom: -0.2920

Cell lengths 3.983, 3.983, 5.480 Å; angles 90.00, 90.00, 90.00 degrees
Sites, in units of the cell vectors:
Hf 0.000 0.000 0.000
Cr 0.500 0.500 0.500
P 0.000 0.000 0.500
O 0.000 0.500 0.000
O 0.500 0.000 0.000

The following is a DFT calculation (PBE with a Hubbard U) of a relaxed structure of HfCrPO2.

## Properties
Size of the total moment in μB per formula unit: 2.8
Energy in hartree per atom: -0.2768

Cell lengths 3.806, 3.806, 4.738 Å; angles 90.00, 90.00, 90.00 degrees
Sites, in units of the cell vectors:
Hf 0.000 0.000 0.000
Cr 0.500 0.500 0.500
P 0.500 0.500 0.000
O 0.000 0.500 0.500
O 0.500 0.000 0.500

The following is a DFT calculation (PBE with a Hubbard U) of a relaxed structure of HfPaCrO6.

## Properties
Size of the total moment in μB per formula unit: 3.0
Energy in hartree per atom: -0.3376

Cell lengths 5.532, 5.532, 8.650 Å; angles 90.00, 90.00, 120.00 degrees
Sites, in units of the cell vectors:
Hf 0.333 0.667 0.250
Hf 0.667 0.333 0.750
Pa 0.333 0.667 0.750
Pa 0.667 0.333 0.250
Cr 0.000 0.000 0.000
Cr 0.000 0.000 0.500
O 0.013 0.333 0.127
O 0.013 0.680 0.373
O 0.320 0.333 0.373
O 0.320 0.987 0.127
O 0.333 0.013 0.627
O 0.333 0.320 0.873
O 0.667 0.680 0.127
O 0.667 0.987 0.373
O 0.680 0.013 0.873
O 0.680 0.667 0.627
O 0.987 0.320 0.627
O 0.987 0.667 0.873

The following is a DFT calculation (PBE with a Hubbard U) of a relaxed structure of HfPaCr2O8.

## Properties
Size of the total moment in μB per formula unit: 5.0
Energy in hartree per atom: -0.3207

Cell lengths 6.437, 6.437, 6.437 Å; angles 133.59, 133.59, 67.74 degrees
Sites, in units of the cell vectors:
Hf 0.000 0.000 0.000
Pa 0.250 0.750 0.500
Cr 0.500 0.500 0.000
Cr 0.750 0.250 0.500
O 0.019 0.059 0.396
O 0.222 0.667 0.057
O 0.333 0.391 0.556
O 0.378 0.981 0.041
O 0.609 0.165 0.943
O 0.663 0.622 0.604
O 0.835 0.778 0.444
O 0.941 0.337 0.959

The following is a DFT calculation (PBE with a Hubbard U) of a relaxed structure of HfCr2PbO8.

## Properties
Size of the total moment in μB per formula unit: 2.0
Energy in hartree per atom: -0.2757

Cell lengths 5.275, 5.275, 7.370 Å; angles 90.07, 90.07, 66.63 degrees
Sites, in units of the cell vectors:
Hf 0.000 0.000 0.000
Cr 0.361 0.361 0.229
Cr 0.639 0.639 0.771
Pb 0.000 0.000 0.500
O 0.214 0.726 0.204
O 0.231 0.231 0.058
O 0.274 0.786 0.796
O 0.292 0.292 0.438
O 0.708 0.708 0.562
O 0.726 0.214 0.204
O 0.769 0.769 0.942
O 0.786 0.274 0.796

The following is a DFT calculation (PBE with a Hubbard U) of a relaxed structure of HfCrPb2O6.

## Properties
Size of the total moment in μB per formula unit: 2.0
Energy in hartree per atom: -0.2719

Cell lengths 5.691, 5.691, 4.192 Å; angles 90.00, 90.00, 90.00 degrees
Sites, in units of the cell vectors:
Hf 0.000 0.000 0.000
Cr 0.500 0.500 0.999
Pb 0.000 0.500 0.435
Pb 0.500 0.000 0.435
O 0.000 0.000 0.524
O 0.257 0.257 0.063
O 0.257 0.743 0.063
O 0.500 0.500 0.568
O 0.743 0.257 0.063
O 0.743 0.743 0.063

The following is a DFT calculation (PBE with a Hubbard U) of a relaxed structure of HfCrPd2O.

## Properties
Size of the total moment in μB per formula unit: 1.3
Energy in hartree per atom: -0.2316

Cell lengths 5.038, 5.038, 3.872 Å; angles 90.00, 90.00, 90.00 degrees
Sites, in units of the cell vectors:
Hf 0.000 0.000 0.000
Cr 0.500 0.500 0.500
Pd 0.000 0.500 0.000
Pd 0.500 0.000 0.000
O 0.000 0.000 0.500

The following is a DFT calculation (PBE with a Hubbard U) of a relaxed structure of PmHfCr2O8.

## Properties
Size of the total moment in μB per formula unit: 3.0
Energy in hartree per atom: -0.2977

Cell lengths 5.938, 5.938, 5.938 Å; angles 106.02, 106.02, 116.62 degrees
Sites, in units of the cell vectors:
Pm 0.000 0.000 0.000
Hf 0.750 0.250 0.500
Cr 0.250 0.750 0.500
Cr 0.500 0.500 0.000
O 0.043 0.369 0.326
O 0.043 0.717 0.674
O 0.139 0.331 0.808
O 0.283 0.957 0.326
O 0.523 0.331 0.192
O 0.631 0.957 0.674
O 0.669 0.477 0.808
O 0.669 0.861 0.192

The following is a DFT calculation (PBE with a Hubbard U) of a relaxed structure of HfCrPtO6.

## Properties
Size of the total moment in μB per formula unit: 2.0
Energy in hartree per atom: -0.2847

Cell lengths 4.700, 4.700, 9.405 Å; angles 90.00, 90.00, 90.00 degrees
Sites, in units of the cell vectors:
Hf 0.000 0.000 0.000
Hf 0.500 0.500 0.500
Cr 0.000 0.000 0.332
Cr 0.500 0.500 0.832
Pt 0.000 0.000 0.668
Pt 0.500 0.500 0.168
O 0.187 0.187 0.499
O 0.199 0.199 0.169
O 0.199 0.199 0.832
O 0.301 0.699 0.332
O 0.301 0.699 0.669
O 0.313 0.687 0.999
O 0.687 0.313 0.999
O 0.699 0.301 0.332
O 0.699 0.301 0.669
O 0.801 0.801 0.169
O 0.801 0.801 0.832
O 0.813 0.813 0.499

The following is a DFT calculation (PBE with a Hubbard U) of a relaxed structure of PuHfCrO6.

## Properties
Size of the total moment in μB per formula unit: 6.0
Energy in hartree per atom: -0.3463

Cell lengths 5.441, 5.441, 8.736 Å; angles 90.00, 90.00, 120.00 degrees
Sites, in units of the cell vectors:
Pu 0.333 0.667 0.250
Pu 0.667 0.333 0.750
Hf 0.333 0.667 0.750
Hf 0.667 0.333 0.250
Cr 0.000 0.000 0.000
Cr 0.000 0.000 0.500
O 0.007 0.332 0.627
O 0.007 0.675 0.873
O 0.325 0.332 0.873
O 0.325 0.993 0.627
O 0.332 0.007 0.127
O 0.332 0.325 0.373
O 0.668 0.675 0.627
O 0.668 0.993 0.873
O 0.675 0.007 0.373
O 0.675 0.668 0.127
O 0.993 0.325 0.127
O 0.993 0.668 0.373

The following is a DFT calculation (PBE with a Hubbard U) of a relaxed structure of RbHf2Cr2O7.

## Properties
Size of the total moment in μB per formula unit: 7.0
Energy in hartree per atom: -0.3119

Cell lengths 9.258, 9.258, 9.258 Å; angles 153.71, 153.62, 37.59 degrees
Sites, in units of the cell vectors:
Rb 0.000 0.000 0.000
Hf 0.385 0.385 0.000
Hf 0.615 0.615 0.000
Cr 0.250 0.750 0.500
Cr 0.750 0.250 0.500
O 0.131 0.631 0.500
O 0.260 0.260 0.000
O 0.368 0.868 0.500
O 0.500 0.500 0.000
O 0.632 0.132 0.500
O 0.740 0.740 0.000
O 0.869 0.369 0.500